Compound: RbBeSnAu
Source: OQMD
Functional: GGA-PBE
Structure: optimized geometry

Lattice parameters (Å, degrees): 5.1695 5.1695 5.1695 60.00 60.00 60.00
Last column: nearest neighbours and their distance in Å.
Positions (direct):
Au1 0.7500 0.7500 0.7500  4 Rb 3.17, 4 Be 3.17
Be1 0.0000 0.0000 0.0000  4 Sn 3.17, 4 Au 3.17
Sn1 0.2500 0.2500 0.2500  4 Be 3.17, 4 Rb 3.17
Rb1 0.5000 0.5000 0.5000  4 Au 3.17, 4 Sn 3.17

Output
space-group type: No. 216
calculated density: 6.97 g/cm³
relative energy among the computed polymorphs: 0.54 eV per formula unit